A plane-wave DFT calculation with PBE-GGA was carried out for a geometry-optimized HoGeNO structure.

Total moment = 0.0 Bohr magnetons per cell
Crystal system = orthorhombic
E above lowest polymorph = 277 meV/atom

Cell: 6.380 6.632 5.440 Å, 90.00 90.00 90.00°
Space group Pca2_1 (No. 29)
Asymmetric unit:
1 Ho 0.074 0.174 0.000 x4
2 Ge 0.112 0.674 0.002 x4
3 N 0.086 0.124 0.586 x4
4 O 0.051 0.458 0.233 x4